Computed, not measured: a relaxed Li5V3P8O29 crystal at the PBEsol level of DFT.

* crystal system: monoclinic
* formation energy (no corrections): -2270.5 meV per atom

Cell lengths 16.804, 9.703, 14.214 Å; angles 90.00, 91.05, 90.00 degrees
Space group C2/c (No. 15)
Inequivalent atoms, fractional coordinates:
Li  0.000  0.000  0.000 x4
Li  0.078  0.272  0.499 x8
Li  0.166  0.034  0.937 x8
V  0.000  0.470  0.250 x4
V  0.220  0.194  0.770 x8
P  0.040  0.232  0.844 x8
P  0.110  0.226  0.319 x8
P  0.155  0.081  0.149 x8
P  0.162  0.458  0.638 x8
O  0.000  0.167  0.750 x4
O  0.005  0.180  0.574 x8
O  0.039  0.389  0.831 x8
O  0.043  0.331  0.331 x8
O  0.092  0.142  0.223 x8
O  0.092  0.459  0.182 x8
O  0.110  0.131  0.403 x8
O  0.114  0.068  0.055 x8
O  0.127  0.179  0.848 x8
O  0.145  0.412  0.539 x8
O  0.172  0.332  0.705 x8
O  0.180  0.059  0.690 x8
O  0.190  0.301  0.306 x8
O  0.227  0.180  0.149 x8
O  0.238  0.452  0.146 x8

***

Computed, not measured: a relaxed Li3V4P6O24 crystal at the PBEsol level of DFT.

* crystal system: triclinic
* formation energy (no corrections): -2303.8 meV per atom

Cell lengths 8.378, 8.421, 8.422 Å; angles 60.82, 60.97, 60.99 degrees
Space group P1 (No. 1)
Inequivalent atoms, fractional coordinates:
Li  0.000  0.000  0.000 x1
Li  0.272  0.847  0.624 x1
Li  0.726  0.374  0.148 x1
V  0.113  0.707  0.507 x1
V  0.392  0.992  0.785 x1
V  0.609  0.210  0.003 x1
V  0.887  0.487  0.288 x1
P  0.000  0.311  0.684 x1
P  0.205  0.098  0.186 x1
P  0.290  0.597  0.109 x1
P  0.500  0.390  0.605 x1
P  0.711  0.885  0.398 x1
P  0.795  0.809  0.897 x1
O  0.014  0.265  0.209 x1
O  0.065  0.471  0.643 x1
O  0.121  0.540  0.153 x1
O  0.159  0.110  0.709 x1
O  0.194  0.933  0.380 x1
O  0.225  0.042  0.026 x1
O  0.256  0.654  0.274 x1
O  0.296  0.769  0.919 x1
O  0.338  0.585  0.591 x1
O  0.381  0.150  0.133 x1
O  0.433  0.227  0.651 x1
O  0.485  0.433  0.087 x1
O  0.516  0.909  0.561 x1
O  0.567  0.345  0.767 x1
O  0.620  0.861  0.845 x1
O  0.662  0.404  0.410 x1
O  0.707  0.075  0.225 x1
O  0.745  0.721  0.342 x1
O  0.775  0.970  0.952 x1
O  0.806  0.615  0.062 x1
O  0.841  0.287  0.885 x1
O  0.879  0.841  0.456 x1
O  0.936  0.351  0.523 x1
O  0.987  0.786  0.730 x1

***

Computed, not measured: a relaxed Li4VP2O8 crystal at the PBEsol level of DFT.

* crystal system: triclinic
* formation energy (no corrections): -2254.1 meV per atom

Cell lengths 4.841, 5.135, 6.157 Å; angles 94.93, 93.60, 99.24 degrees
Space group P-1 (No. 2)
Inequivalent atoms, fractional coordinates:
Li  0.157  0.294  0.024 x2
Li  0.332  0.609  0.699 x2
V  0.000  0.000  0.500 x1
P  0.368  0.822  0.230 x2
O  0.215  0.683  0.414 x2
O  0.246  0.681  0.006 x2
O  0.301  0.110  0.258 x2
O  0.314  0.191  0.745 x2

***

Computed, not measured: a relaxed LiVPO5 crystal at the PBEsol level of DFT.

* crystal system: monoclinic
* formation energy (no corrections): -2280.7 meV per atom

Cell lengths 5.095, 9.829, 7.287 Å; angles 90.00, 101.47, 90.00 degrees
Space group P2_1/c (No. 14)
Inequivalent atoms, fractional coordinates:
Li  0.040  0.132  0.178 x4
V  0.495  0.074  0.849 x4
P  0.376  0.663  0.068 x4
O  0.207  0.705  0.533 x4
O  0.256  0.562  0.194 x4
O  0.284  0.050  0.027 x4
O  0.352  0.223  0.331 x4
O  0.375  0.595  0.878 x4

***

Values of total magnetization, in order: 2.00; 5.00; 3.00; 1.00, all in μB/f.u..